[1]
Hf4Co2Pd, optimized geometry, DFT PBE; formation enthalpy at 0 K = -267 meV per atom; D(E_F) = 5.8 states/eV per cell; total energy = -8.73 eV/atom
1.0
2.053 1.186 9.100
-2.053 1.186 9.100
0.000 -2.371 9.100
Hf Co Pd
4 2 1
Direct
0.113 0.113 0.113 Hf
0.298 0.298 0.298 Hf
0.702 0.702 0.702 Hf
0.887 0.887 0.887 Hf
0.402 0.402 0.402 Co
0.598 0.598 0.598 Co
0.500 0.500 0.500 Pd

[2]
HfCo2Pd2, optimized geometry, DFT PBE; formation enthalpy at 0 K = -145 meV per atom; D(E_F) = 8.4 states/eV per cell; energy above the lowest structure with this stoichiometry = 0.000 eV/atom; total energy = -7.05 eV/atom
1.0
6.395 0.000 0.000
0.000 6.395 0.000
0.000 0.000 3.633
Hf Co Pd
2 4 4
Direct
0.000 0.000 0.000 Hf
0.500 0.500 0.000 Hf
0.127 0.373 0.000 Co
0.373 0.873 0.000 Co
0.627 0.127 0.000 Co
0.873 0.627 0.000 Co
0.168 0.668 0.500 Pd
0.332 0.168 0.500 Pd
0.668 0.832 0.500 Pd
0.832 0.332 0.500 Pd

[3]
Hf2CoPd, optimized geometry, DFT PBE; formation enthalpy at 0 K = -596 meV per atom; D(E_F) = 12.6 states/eV per cell; total energy = -8.65 eV/atom
1.0
12.989 0.000 0.000
0.000 3.220 0.000
-5.471 0.000 6.603
Hf Co Pd
8 4 4
Direct
0.133 0.000 0.238 Hf
0.147 0.000 0.790 Hf
0.353 0.500 0.210 Hf
0.367 0.500 0.762 Hf
0.633 0.500 0.238 Hf
0.647 0.500 0.790 Hf
0.853 0.000 0.210 Hf
0.867 0.000 0.762 Hf
0.089 0.500 0.964 Co
0.411 0.000 0.036 Co
0.589 0.000 0.964 Co
0.911 0.500 0.036 Co
0.091 0.500 0.462 Pd
0.409 0.000 0.538 Pd
0.591 0.000 0.462 Pd
0.909 0.500 0.538 Pd

[4]
HfCo2Pd2, optimized geometry, DFT PBE; formation enthalpy at 0 K = -135 meV per atom; D(E_F) = 8.0 states/eV per cell; energy above the lowest structure with this stoichiometry = 0.010 eV/atom; total energy = -7.04 eV/atom
1.0
3.406 0.000 0.000
0.000 3.406 0.000
0.000 0.000 13.537
Hf Co Pd
2 4 4
Direct
0.000 0.000 0.000 Hf
0.500 0.500 0.500 Hf
0.000 0.500 0.250 Co
0.000 0.500 0.750 Co
0.500 0.000 0.250 Co
0.500 0.000 0.750 Co
0.000 0.000 0.399 Pd
0.000 0.000 0.601 Pd
0.500 0.500 0.101 Pd
0.500 0.500 0.899 Pd

[5]
HfCoPd3, optimized geometry, DFT PBE; formation enthalpy at 0 K = 967 meV per atom; D(E_F) = 3.0 states/eV per cell; energy above the lowest structure with this stoichiometry = 0.474 eV/atom; total energy = -5.56 eV/atom
1.0
4.826 0.000 0.000
0.000 4.826 0.000
0.000 0.000 4.826
Hf Co Pd
1 1 3
Direct
0.000 0.000 0.000 Hf
0.500 0.500 0.500 Co
0.000 0.000 0.500 Pd
0.000 0.500 0.000 Pd
0.500 0.000 0.000 Pd

[6]
Hf2CoPd, optimized geometry, DFT PBE; formation enthalpy at 0 K = 80 meV per atom; D(E_F) = 12.2 states/eV per cell; total energy = -7.97 eV/atom
1.0
3.184 0.000 0.000
-1.592 2.758 0.000
0.000 0.000 25.921
Hf Co Pd
6 3 3
Direct
0.000 0.000 0.099 Hf
0.000 0.000 0.901 Hf
0.333 0.667 0.567 Hf
0.333 0.667 0.766 Hf
0.667 0.333 0.234 Hf
0.667 0.333 0.433 Hf
0.000 0.000 0.500 Co
0.333 0.667 0.167 Co
0.667 0.333 0.833 Co
0.000 0.000 0.000 Pd
0.333 0.667 0.667 Pd
0.667 0.333 0.333 Pd

[7]
Hf2CoPd, optimized geometry, DFT PBE; formation enthalpy at 0 K = -506 meV per atom; D(E_F) = 3.7 states/eV per cell; total energy = -8.56 eV/atom
1.0
3.153 0.000 0.000
0.000 3.153 0.000
0.000 0.000 6.817
Hf Co Pd
2 1 1
Direct
0.000 0.000 0.230 Hf
0.000 0.000 0.770 Hf
0.500 0.500 0.000 Co
0.500 0.500 0.500 Pd

[8]
Hf5Co2Pd2, optimized geometry, DFT PBE; formation enthalpy at 0 K = -283 meV per atom; D(E_F) = 16.3 states/eV per cell; energy above the lowest structure with this stoichiometry = 0.181 eV/atom; total energy = -8.55 eV/atom
1.0
-7.410 3.628 3.106
7.410 -3.628 3.106
7.410 3.628 -3.106
Hf Co Pd
10 4 4
Direct
0.165 0.429 0.041 Hf
0.165 0.625 0.237 Hf
0.197 0.052 0.249 Hf
0.197 0.448 0.645 Hf
0.388 0.125 0.959 Hf
0.388 0.929 0.763 Hf
0.454 0.414 0.540 Hf
0.803 0.552 0.355 Hf
0.803 0.948 0.751 Hf
0.875 0.914 0.460 Hf
0.326 0.326 0.000 Co
0.326 0.826 0.500 Co
0.916 0.202 0.214 Co
0.988 0.702 0.786 Co
0.650 0.106 0.361 Pd
0.650 0.788 0.044 Pd
0.744 0.288 0.639 Pd
0.744 0.606 0.956 Pd